No. 1
! ZnCd2Bi PBE relaxed; values from VASP
&SYSTEM
  ibrav = 0, nat = 4, ntyp = 3
/
ATOMIC_SPECIES
Zn 65.41 Zn.upf
Cd 112.41 Cd.upf
Bi 208.98 Bi.upf
CELL_PARAMETERS angstrom
3.465 0.000 0.000
0.000 3.465 0.000
0.000 0.000 7.947
ATOMIC_POSITIONS angstrom
Zn 0.000 0.000 0.000
Cd 1.733 1.733 1.625
Cd 1.733 1.733 6.322
Bi 0.000 0.000 3.973
! Energy above the most stable polymorph in this dataset   15 meV/atom



No. 2
ZnCd4Bi | PBE | relaxed Values from VASP.

```
&SYSTEM
  ibrav = 0, nat = 6, ntyp = 3
/
ATOMIC_SPECIES
Zn 65.41 Zn.upf
Cd 112.41 Cd.upf
Bi 208.98 Bi.upf
CELL_PARAMETERS angstrom
0.000 4.196 4.196
4.196 0.000 4.196
4.196 4.196 0.000
ATOMIC_POSITIONS angstrom
Zn 0.000 0.000 0.000
Cd 5.251 3.141 3.141
Cd 3.141 5.251 3.141
Cd 3.141 3.141 5.251
Cd 5.251 5.251 5.251
Bi 2.098 2.098 2.098
```



No. 3
! ZnCd2Bi PBE relaxed; values from VASP
&SYSTEM
  ibrav = 0, nat = 12, ntyp = 3
/
ATOMIC_SPECIES
Zn 65.41 Zn.upf
Cd 112.41 Cd.upf
Bi 208.98 Bi.upf
CELL_PARAMETERS angstrom
3.315 0.000 0.000
-1.657 2.871 0.000
0.000 0.000 33.272
ATOMIC_POSITIONS angstrom
Zn 0.000 0.000 0.000
Zn 0.000 1.914 22.181
Zn 1.657 0.957 11.091
Cd 0.000 0.000 2.687
Cd 0.000 0.000 30.585
Cd 0.000 1.914 19.494
Cd 0.000 1.914 24.868
Cd 1.657 0.957 8.403
Cd 1.657 0.957 13.778
Bi 0.000 0.000 16.636
Bi 0.000 1.914 5.545
Bi 1.657 0.957 27.726
! Energy above the most stable polymorph in this dataset   85 meV/atom



| no. | energy relative to the elements (eV per atom) |
| --- | --- |
| 1 | 0.129 |
| 2 | 0.169 |
| 3 | 0.199 |